# Tl2CdS | Alexandria | GGA-PBE | relaxed
# Energy above the lowest structure with this stoichiometry in eV per atom: 0.0000
# Formation energy from raw total energies in eV/atom: -0.1055
# Crystal system: trigonal
# DOS at the Fermi energy in states/eV/atom: 0.001
data_Tl2CdS
_chemical_formula_sum 'Tl6 Cd3 S3'
_cell_length_a 4.0257
_cell_length_b 4.0257
_cell_length_c 32.3036
_cell_angle_alpha 90.00
_cell_angle_beta 90.00
_cell_angle_gamma 120.00
_space_group_name_H-M_alt 'R -3 m'
_space_group_IT_number 166
_space_group_name_Hall '-R 3 2"'
loop_
_atom_site_label
_atom_site_type_symbol
_atom_site_fract_x
_atom_site_fract_y
_atom_site_fract_z
_atom_site_occupancy
Tl1 Tl 0.0000 0.0000 0.1124 1
Cd1 Cd 0.0000 0.0000 0.0000 1
S1 S 0.0000 0.0000 0.5000 1

***

# Tl2CdS2 | Alexandria | GGA-PBE | relaxed
# Energy above the lowest structure with this stoichiometry in eV per atom: 0.2608
# Formation energy from raw total energies in eV/atom: -0.1465
# Crystal system: tetragonal
# DOS at the Fermi energy in states/eV/atom: 0.102
data_Tl2CdS2
_chemical_formula_sum 'Tl4 Cd2 S4'
_cell_length_a 7.4259
_cell_length_b 7.4259
_cell_length_c 4.8408
_cell_angle_alpha 90.00
_cell_angle_beta 90.00
_cell_angle_gamma 90.00
_space_group_name_H-M_alt 'P 4/m b m'
_space_group_IT_number 127
_space_group_name_Hall '-P 4 2ab'
loop_
_atom_site_label
_atom_site_type_symbol
_atom_site_fract_x
_atom_site_fract_y
_atom_site_fract_z
_atom_site_occupancy
Tl1 Tl 0.1478 0.3522 0.0000 1
Cd1 Cd 0.0000 0.0000 0.5000 1
S1 S 0.1800 0.6800 0.5000 1

***

Number 1: total magnetic moment 0.0 μB per cell. Number 2: total magnetic moment 0.0 μB per cell.